Compound: CrGeRhO6
Source: Alexandria via LeMat-Bulk
Functional: GGA+U
Structure: optimized geometry

Computed properties:
crystal system	tetragonal
total DFT energy (no corrections)	-6.771	eV per atom

The structure in CIF format:
```
data_CrGeRhO6
_chemical_formula_sum 'Cr2 Ge2 Rh2 O12'
_cell_length_a 4.523
_cell_length_b 4.523
_cell_length_c 9.080
_cell_angle_alpha 90.00
_cell_angle_beta 90.00
_cell_angle_gamma 90.00
_space_group_name_H-M_alt 'P 1'
_space_group_IT_number 1
loop_
_space_group_symop_operation_xyz
'x,y,z'
loop_
_atom_site_label
_atom_site_type_symbol
_atom_site_fract_x
_atom_site_fract_y
_atom_site_fract_z
O1 O 0.193 0.807 0.495
Ge1 Ge 0.000 0.000 0.332
O2 O 0.200 0.800 0.836
Cr1 Cr 0.000 0.000 0.000
O3 O 0.700 0.700 0.336
O4 O 0.191 0.809 0.170
O5 O 0.809 0.191 0.170
O6 O 0.800 0.200 0.836
O7 O 0.309 0.309 0.670
O8 O 0.307 0.307 0.995
O9 O 0.691 0.691 0.670
Rh1 Rh 0.000 0.000 0.666
Rh2 Rh 0.500 0.500 0.166
Cr2 Cr 0.500 0.500 0.500
O10 O 0.807 0.193 0.495
O11 O 0.300 0.300 0.336
O12 O 0.693 0.693 0.995
Ge2 Ge 0.500 0.500 0.832
```